Compound: Cd7Se
Source: the Alexandria database
Functional: PBE-GGA
Structure: relaxed

a = 6.3504 Å, b = 6.3504 Å, c = 6.3504 Å
α = 60.00°, β = 60.00°, γ = 60.00°
Closest atoms and distances in Å follow each position.
Fractional coordinates of all 8 atoms:
1 Cd 0.0000 0.0000 0.0000  12 Cd 3.18
2 Cd 0.0000 0.0000 0.5000  10 Cd 3.18, 2 Se 3.18
3 Cd 0.0000 0.5000 0.0000  10 Cd 3.18, 2 Se 3.18
4 Cd 0.0000 0.5000 0.5000  10 Cd 3.18, 2 Se 3.18
5 Cd 0.5000 0.0000 0.0000  10 Cd 3.18, 2 Se 3.18
6 Cd 0.5000 0.0000 0.5000  10 Cd 3.18, 2 Se 3.18
7 Cd 0.5000 0.5000 0.0000  10 Cd 3.18, 2 Se 3.18
8 Se 0.5000 0.5000 0.5000  12 Cd 3.18

DOS at the Fermi energy (states/eV per cell): 3.96
Space-group type: Fm-3m
E_tot (eV/atom): -1.2438
Formation energy from raw total energies (eV per atom): -0.01

---

Compound: CdSe
Source: the Alexandria database
Functional: PBE-GGA
Structure: relaxed

a = 3.0770 Å, b = 3.0770 Å, c = 10.1469 Å
α = 90.00°, β = 90.00°, γ = 90.00°
Closest atoms and distances in Å follow each position.
Fractional coordinates of all 4 atoms:
1 Cd 0.2500 0.2500 0.1132  4 Se 3.06, 8 Cd 3.08-3.16
2 Cd 0.7500 0.7500 0.8868  4 Se 3.06, 8 Cd 3.08-3.16
3 Se 0.2500 0.2500 0.6742  4 Cd 3.06, 4 Se 3.08
4 Se 0.7500 0.7500 0.3258  4 Cd 3.06, 4 Se 3.08

DOS at the Fermi energy (states/eV per cell): 2.55
Space-group type: P4/nmm
E_tot (eV/atom): -2.0521
Formation energy from raw total energies (eV per atom): 0.15

---

Compound: CdSe
Source: the Alexandria database
Functional: PBE-GGA
Structure: relaxed

a = 4.3869 Å, b = 7.5867 Å, c = 7.1573 Å
α = 90.00°, β = 90.00°, γ = 90.00°
Closest atoms and distances in Å follow each position.
Fractional coordinates of all 8 atoms:
1 Cd 0.0000 0.1660 0.0000  4 Se 2.68-2.69
2 Cd 0.0000 0.8340 0.5000  4 Se 2.68-2.69
3 Cd 0.5000 0.3340 0.5000  4 Se 2.68-2.69
4 Cd 0.5000 0.6660 0.0000  4 Se 2.68-2.69
5 Se 0.0000 0.1676 0.6244  4 Cd 2.68-2.69
6 Se 0.0000 0.8324 0.1244  4 Cd 2.68-2.69
7 Se 0.5000 0.3324 0.1244  4 Cd 2.68-2.69
8 Se 0.5000 0.6676 0.6244  4 Cd 2.68-2.69

DOS at the Fermi energy (states/eV per cell): 0.00
Space-group type: Cmc2_1
E_tot (eV/atom): -2.8276
Formation energy from raw total energies (eV per atom): -0.63

---

Compound: Cd3Se2
Source: the Alexandria database
Functional: PBE-GGA
Structure: relaxed

a = 4.0187 Å, b = 4.0187 Å, c = 26.1536 Å
α = 90.00°, β = 90.00°, γ = 120.00°
Closest atoms and distances in Å follow each position.
Fractional coordinates of all 15 atoms:
1 Cd 0.0000 0.0000 0.0000  6 Se 2.86
2 Cd 0.0000 0.0000 0.2060  3 Se 2.85, 3 Cd 3.10
3 Cd 0.0000 0.0000 0.7940  3 Se 2.85, 3 Cd 3.10
4 Cd 0.3333 0.6667 0.4606  3 Se 2.85, 3 Cd 3.10
5 Cd 0.3333 0.6667 0.6667  6 Se 2.86
6 Cd 0.3333 0.6667 0.8727  3 Se 2.85, 3 Cd 3.10
7 Cd 0.6667 0.3333 0.1273  3 Se 2.85, 3 Cd 3.10
8 Cd 0.6667 0.3333 0.3333  6 Se 2.86
9 Cd 0.6667 0.3333 0.5394  3 Se 2.85, 3 Cd 3.10
10 Se 0.0000 0.0000 0.3972  6 Cd 2.85-2.86
11 Se 0.0000 0.0000 0.6028  6 Cd 2.85-2.86
12 Se 0.3333 0.6667 0.0639  6 Cd 2.85-2.86
13 Se 0.3333 0.6667 0.2694  6 Cd 2.85-2.86
14 Se 0.6667 0.3333 0.7306  6 Cd 2.85-2.86
15 Se 0.6667 0.3333 0.9361  6 Cd 2.85-2.86

DOS at the Fermi energy (states/eV per cell): 3.40
Space-group type: R-3m
E above lowest polymorph (meV/atom): 0
E_tot (eV/atom): -2.2899
Formation energy from raw total energies (eV per atom): -0.35

---

Compound: CdSe
Source: the Alexandria database
Functional: PBE-GGA
Structure: relaxed

a = 4.4217 Å, b = 4.4217 Å, c = 25.5085 Å
α = 90.00°, β = 90.00°, γ = 120.00°
Closest atoms and distances in Å follow each position.
Fractional coordinates of all 12 atoms:
1 Cd 0.0000 0.0000 0.0888  3 Se 2.59
2 Cd 0.0000 0.0000 0.9112  3 Se 2.59
3 Cd 0.3333 0.6667 0.5779  3 Se 2.59
4 Cd 0.3333 0.6667 0.7554  3 Se 2.59
5 Cd 0.6667 0.3333 0.2446  3 Se 2.59
6 Cd 0.6667 0.3333 0.4221  3 Se 2.59
7 Se 0.0000 0.0000 0.4058  3 Cd 2.59
8 Se 0.0000 0.0000 0.5942  3 Cd 2.59
9 Se 0.3333 0.6667 0.0725  3 Cd 2.59
10 Se 0.3333 0.6667 0.2608  3 Cd 2.59
11 Se 0.6667 0.3333 0.7392  3 Cd 2.59
12 Se 0.6667 0.3333 0.9275  3 Cd 2.59

Space-group type: R-3m
E_tot (eV/atom): -2.5643
Formation energy from raw total energies (eV per atom): -0.36

---

Compound: CdSiSe2
Source: the Alexandria database
Functional: PBE-GGA
Structure: relaxed

a = 2.6802 Å, b = 3.7395 Å, c = 9.2381 Å
α = 90.00°, β = 91.12°, γ = 90.00°
Closest atoms and distances in Å follow each position.
Fractional coordinates of all 4 atoms:
1 Cd 0.0000 0.0000 0.0000  2 Cd 2.68
2 Si 0.0000 0.0000 0.5000  4 Se 2.59, 2 Si 2.68
3 Se 0.0130 0.5000 0.6946  2 Si 2.59, 2 Se 2.68
4 Se 0.9870 0.5000 0.3054  2 Si 2.59, 2 Se 2.68

DOS at the Fermi energy (states/eV per cell): 1.69
Space-group type: P2/m
E_tot (eV/atom): -3.3422
Formation energy from raw total energies (eV per atom): -0.02